# ScBeRe2Pd GGA-PBE optimized geometry
# Density of states at the Fermi level ... 5.310 states/eV per cell
# Calculated formation energy ... 1.908 eV per atom
data_ScBeRe2Pd
_chemical_formula_sum 'Sc1 Be1 Re2 Pd1'
_space_group_name_H-M_alt 'P 4/m m m'
_space_group_IT_number 123
_space_group_name_Hall '-P 4 2'
_cell_length_a 4.733
_cell_length_b 4.733
_cell_length_c 4.766
_cell_angle_alpha 90.00
_cell_angle_beta 90.00
_cell_angle_gamma 90.00
loop_
_atom_site_label
_atom_site_type_symbol
_atom_site_fract_x
_atom_site_fract_y
_atom_site_fract_z
Sc1 Sc 0.000 0.000 0.000
Be1 Be 0.500 0.500 0.000
Re1 Re 0.000 0.500 0.500
Pd1 Pd 0.000 0.000 0.500